The following is a DFT calculation (PBE) of an optimized crystal structure of AcNd5Sm2Y.

Cell: 9.124 9.124 15.668 Å, 90.00 90.00 90.00°
Space group I4/mcm (No. 140)
Inequivalent atoms, fractional coordinates:
Ac1 0.000 0.000 0.250 x4
Nd1 0.000 0.000 0.000 x4
Nd2 0.205 0.295 0.131 x16
Sm1 0.115 0.385 0.500 x8
Y1 0.000 0.500 0.250 x4

Values from the calculation:
D(E_F)   13.19 states/eV/f.u.
DFT formation energy   0.2608 eV/atom